Compound: Sr2AsS
Source: Alexandria
Functional: GGA-PBE
Structure: optimized geometry

Computed properties:
electronic total energy = -0.311 Ry per atom
total moment = 0.76 μB per formula unit
density of states at the Fermi level = 4.07 states/eV per cell

Lattice parameters (Å, degrees): 5.3378 5.3378 5.3378 60.00 60.00 60.00
Element x y z (fractional)
Sr  0.2500  0.2500  0.2500
Sr  0.7500  0.7500  0.7500
As  0.5000  0.5000  0.5000
S  0.0000  0.0000  0.0000

Compound: Sr6AsS4
Source: Alexandria
Functional: GGA-PBE
Structure: optimized geometry

Computed properties:
electronic total energy = -0.340 Ry per atom
total moment = 0.94 μB per formula unit
density of states at the Fermi level = 3.39 states/eV per cell

Lattice parameters (Å, degrees): 4.3282 7.3633 21.7290 90.00 90.00 107.09
Element x y z (fractional)
Sr  0.5000  0.0000  0.0000
Sr  0.5000  0.0000  0.5000
Sr  0.0455  0.0909  0.3339
Sr  0.9545  0.9091  0.6661
Sr  0.9545  0.9091  0.8339
Sr  0.0455  0.0909  0.1661
Sr  0.7741  0.5482  0.4156
Sr  0.2259  0.4518  0.5844
Sr  0.2259  0.4518  0.9156
Sr  0.7741  0.5482  0.0844
Sr  0.3206  0.6412  0.2500
Sr  0.6794  0.3588  0.7500
As  0.6581  0.3163  0.2500
As  0.3419  0.6837  0.7500
S  0.8622  0.7245  0.5428
S  0.4071  0.8142  0.1234
S  0.1378  0.2755  0.4572
S  0.5929  0.1858  0.8766
S  0.8622  0.7245  0.9572
S  0.1378  0.2755  0.0428
S  0.5929  0.1858  0.6234
S  0.4071  0.8142  0.3766

Compound: Sr2AsS
Source: Alexandria
Functional: GGA-PBE
Structure: optimized geometry

Computed properties:
electronic total energy = -0.311 Ry per atom
total moment = 1.00 μB per formula unit
density of states at the Fermi level = 2.09 states/eV per cell

Lattice parameters (Å, degrees): 7.8705 7.8705 7.0674 56.16 56.16 90.00
Element x y z (fractional)
Sr  0.6023  0.1250  0.2500
Sr  0.1477  0.6250  0.2500
Sr  0.3750  0.3977  0.7500
Sr  0.8750  0.8523  0.7500
As  0.0000  0.0000  0.0000
As  0.7500  0.2500  0.5000
S  0.5000  0.5000  0.0000
S  0.2500  0.7500  0.5000

Compound: Sr4AsS2
Source: Alexandria
Functional: GGA-PBE
Structure: optimized geometry

Computed properties:
electronic total energy = -0.321 Ry per atom
total moment = 0.95 μB per formula unit
density of states at the Fermi level = 1.37 states/eV per cell

Lattice parameters (Å, degrees): 4.3448 7.3509 14.4342 90.00 90.00 107.19
Element x y z (fractional)
Sr  0.7720  0.5440  0.1246
Sr  0.7720  0.5440  0.3754
Sr  0.2280  0.4560  0.8754
Sr  0.2280  0.4560  0.6246
Sr  0.9531  0.9061  0.7500
Sr  0.0469  0.0939  0.2500
Sr  0.5000  0.0000  0.0000
Sr  0.5000  0.0000  0.5000
As  0.6154  0.2308  0.7500
As  0.3846  0.7692  0.2500
S  0.1331  0.2663  0.4426
S  0.8669  0.7337  0.9426
S  0.1331  0.2663  0.0574
S  0.8669  0.7337  0.5574

Compound: SrAs3S
Source: Alexandria
Functional: GGA-PBE
Structure: optimized geometry

Computed properties:
electronic total energy = -0.292 Ry per atom
total moment = 0.00 μB per formula unit
density of states at the Fermi level = 4.12 states/eV per cell

Lattice parameters (Å, degrees): 4.9570 4.9570 4.9570 90.00 90.00 90.00
Element x y z (fractional)
Sr  0.5000  0.5000  0.5000
As  0.0000  0.5000  0.0000
As  0.0000  0.0000  0.5000
As  0.5000  0.0000  0.0000
S  0.0000  0.0000  0.0000

Compound: SrAs3S
Source: Alexandria
Functional: GGA-PBE
Structure: optimized geometry

Computed properties:
electronic total energy = -0.189 Ry per atom
total moment = 2.05 μB per formula unit
density of states at the Fermi level = 6.63 states/eV per cell

Lattice parameters (Å, degrees): 5.6943 5.6943 5.6943 90.00 90.00 90.00
Element x y z (fractional)
Sr  0.0000  0.0000  0.0000
As  0.0000  0.5000  0.0000
As  0.0000  0.0000  0.5000
As  0.5000  0.0000  0.0000
S  0.5000  0.5000  0.5000

Compound: SrAsS2
Source: Alexandria
Functional: GGA-PBE
Structure: optimized geometry

Computed properties:
electronic total energy = -0.342 Ry per atom
total moment = 0.00 μB per formula unit
density of states at the Fermi level = 0.82 states/eV per cell

Lattice parameters (Å, degrees): 6.9958 8.6658 7.4734 90.00 90.00 105.12
Element x y z (fractional)
Sr  0.7737  0.1429  0.8662
Sr  0.2263  0.3571  0.3662
Sr  0.2263  0.8571  0.1338
Sr  0.7737  0.6429  0.6338
As  0.3291  0.9495  0.6284
As  0.6709  0.0505  0.3716
As  0.6709  0.5505  0.1284
As  0.3291  0.4495  0.8716
S  0.0490  0.9332  0.7863
S  0.9510  0.5668  0.2863
S  0.9510  0.0668  0.2137
S  0.0490  0.4332  0.7137
S  0.5205  0.1850  0.1863
S  0.5205  0.6850  0.3137
S  0.4795  0.8150  0.8137
S  0.4795  0.3150  0.6863

Compound: SrAsS2
Source: Alexandria
Functional: GGA-PBE
Structure: optimized geometry

Computed properties:
electronic total energy = -0.312 Ry per atom
total moment = 0.00 μB per formula unit
density of states at the Fermi level = 2.56 states/eV per cell

Lattice parameters (Å, degrees): 8.3356 8.3356 8.3356 29.80 29.80 29.80
Element x y z (fractional)
Sr  0.5000  0.5000  0.5000
As  0.0000  0.0000  0.0000
S  0.9015  0.9015  0.9015
S  0.0985  0.0985  0.0985

Copy entry 1 word for word.
Compound: Sr2AsS
Source: Alexandria
Functional: GGA-PBE
Structure: optimized geometry

Computed properties:
electronic total energy = -0.311 Ry per atom
total moment = 0.76 μB per formula unit
density of states at the Fermi level = 4.07 states/eV per cell

Lattice parameters (Å, degrees): 5.3378 5.3378 5.3378 60.00 60.00 60.00
Element x y z (fractional)
Sr  0.2500  0.2500  0.2500
Sr  0.7500  0.7500  0.7500
As  0.5000  0.5000  0.5000
S  0.0000  0.0000  0.0000

> Which of these has the highest density of states at the Fermi level?

number 6

What did the seventh record say?
Compound: SrAsS2
Source: Alexandria
Functional: GGA-PBE
Structure: optimized geometry

Computed properties:
electronic total energy = -0.342 Ry per atom
total moment = 0.00 μB per formula unit
density of states at the Fermi level = 0.82 states/eV per cell

Lattice parameters (Å, degrees): 6.9958 8.6658 7.4734 90.00 90.00 105.12
Element x y z (fractional)
Sr  0.7737  0.1429  0.8662
Sr  0.2263  0.3571  0.3662
Sr  0.2263  0.8571  0.1338
Sr  0.7737  0.6429  0.6338
As  0.3291  0.9495  0.6284
As  0.6709  0.0505  0.3716
As  0.6709  0.5505  0.1284
As  0.3291  0.4495  0.8716
S  0.0490  0.9332  0.7863
S  0.9510  0.5668  0.2863
S  0.9510  0.0668  0.2137
S  0.0490  0.4332  0.7137
S  0.5205  0.1850  0.1863
S  0.5205  0.6850  0.3137
S  0.4795  0.8150  0.8137
S  0.4795  0.3150  0.6863

> Which of these has the highest electronic total energy?

number 6